Record 1
# CoPC PBE relaxed
# DFT formation energy = 0.583 eV/atom
# Energy = -6.663 eV/atom
# DOS at the Fermi energy = 0.723 states/eV/atom
# Total magnetization = 0.0 μB per formula unit
# Crystal system = monoclinic
# Energy above the most stable polymorph in this dataset = 0.94 eV per formula unit
data_CoPC
_cell_length_a 3.4066
_cell_length_b 3.7589
_cell_length_c 6.7199
_cell_angle_alpha 90.00
_cell_angle_beta 103.74
_cell_angle_gamma 90.00
_space_group_name_H-M_alt 'P 1'
_space_group_IT_number 1
_space_group_name_Hall 'P 1'
loop_
_atom_site_label
_atom_site_type_symbol
_atom_site_fract_x
_atom_site_fract_y
_atom_site_fract_z
P1 P 0.6790 0.0000 0.4165
P2 P 0.6790 0.5000 0.9165
C1 C 0.2980 0.0000 0.1937
C2 C 0.2980 0.5000 0.6937
Co1 Co 0.7616 0.0000 0.0873
Co2 Co 0.7616 0.5000 0.5873

---

Record 2
# LaAs2RhSe PBE relaxed
# Energy = -5.544 eV/atom
# DOS at the Fermi energy = 0.810 states/eV/atom
# Uncorrected formation energy = -0.531 eV/atom
# Total magnetization = 0.0 μB per formula unit
# Crystal system = tetragonal
# Energy above the most stable polymorph in this dataset = 0.00 eV per formula unit
data_LaAs2RhSe
_cell_length_a 4.7313
_cell_length_b 4.7313
_cell_length_c 5.2763
_cell_angle_alpha 90.00
_cell_angle_beta 90.00
_cell_angle_gamma 90.00
_space_group_name_H-M_alt 'P 1'
_space_group_IT_number 1
_space_group_name_Hall 'P 1'
loop_
_atom_site_label
_atom_site_type_symbol
_atom_site_fract_x
_atom_site_fract_y
_atom_site_fract_z
As1 As 0.0000 0.5000 0.0000
As2 As 0.5000 0.0000 0.0000
Rh1 Rh 0.0000 0.0000 0.0000
Se1 Se 0.0000 0.0000 0.5000
La1 La 0.5000 0.5000 0.5000

---

Record 3
# MgScZn4 PBE relaxed
# DFT formation energy = -0.075 eV/atom
# Energy = -2.245 eV/atom
# DOS at the Fermi energy = 0.527 states/eV/atom
# Total magnetization = 0.0 μB per formula unit
# Crystal system = tetragonal
data_MgScZn4
_cell_length_a 3.7155
_cell_length_b 3.7155
_cell_length_c 8.5562
_cell_angle_alpha 102.54
_cell_angle_beta 102.54
_cell_angle_gamma 90.00
_space_group_name_H-M_alt 'P 1'
_space_group_IT_number 1
_space_group_name_Hall 'P 1'
loop_
_atom_site_label
_atom_site_type_symbol
_atom_site_fract_x
_atom_site_fract_y
_atom_site_fract_z
Mg1 Mg 0.0000 0.0000 0.0000
Sc1 Sc 0.2500 0.7500 0.5000
Zn1 Zn 0.6729 0.1729 0.3458
Zn2 Zn 0.5758 0.5758 0.1516
Zn3 Zn 0.8271 0.3271 0.6542
Zn4 Zn 0.4242 0.4242 0.8484

---

Record 4
# Sm2HoCu2 PBE relaxed
# DFT formation energy = -0.120 eV/atom
# Energy = -4.561 eV/atom
# DOS at the Fermi energy = 0.817 states/eV/atom
# Total magnetization = 0.0 μB per formula unit
# Crystal system = monoclinic
data_Sm2HoCu2
_cell_length_a 4.6586
_cell_length_b 6.3240
_cell_length_c 9.1654
_cell_angle_alpha 80.92
_cell_angle_beta 75.28
_cell_angle_gamma 68.39
_space_group_name_H-M_alt 'P 1'
_space_group_IT_number 1
_space_group_name_Hall 'P 1'
loop_
_atom_site_label
_atom_site_type_symbol
_atom_site_fract_x
_atom_site_fract_y
_atom_site_fract_z
Sm1 Sm 0.3192 0.2710 0.0907
Sm2 Sm 0.4630 0.3824 0.6915
Sm3 Sm 0.6808 0.7290 0.9093
Sm4 Sm 0.5370 0.6176 0.3085
Ho1 Ho 0.8065 0.0346 0.3524
Ho2 Ho 0.1935 0.9654 0.6476
Cu1 Cu 0.9496 0.1872 0.9136
Cu2 Cu 0.1245 0.3227 0.4283
Cu3 Cu 0.0504 0.8128 0.0864
Cu4 Cu 0.8755 0.6773 0.5717

---

Record 5
# ScFe2Ni PBE relaxed
# DFT formation energy = -0.081 eV/atom
# Energy = -7.340 eV/atom
# DOS at the Fermi energy = 0.808 states/eV/atom
# Total magnetization = 5.1 μB per formula unit
# Crystal system = tetragonal
data_ScFe2Ni
_cell_length_a 4.8971
_cell_length_b 4.8971
_cell_length_c 4.8971
_cell_angle_alpha 136.66
_cell_angle_beta 136.66
_cell_angle_gamma 62.96
_space_group_name_H-M_alt 'P 1'
_space_group_IT_number 1
_space_group_name_Hall 'P 1'
loop_
_atom_site_label
_atom_site_type_symbol
_atom_site_fract_x
_atom_site_fract_y
_atom_site_fract_z
Fe1 Fe 0.0000 0.0000 0.0000
Fe2 Fe 0.5000 0.5000 0.0000
Ni1 Ni 0.2500 0.7500 0.5000
Sc1 Sc 0.7500 0.2500 0.5000

---

Record 6
# CrMo2As PBE relaxed
# DFT formation energy = 0.053 eV/atom
# Energy = -8.931 eV/atom
# DOS at the Fermi energy = 0.782 states/eV/atom
# Total magnetization = 0.0 μB per formula unit
# Crystal system = orthorhombic
data_CrMo2As
_cell_length_a 5.1306
_cell_length_b 5.1306
_cell_length_c 5.1306
_cell_angle_alpha 144.21
_cell_angle_beta 132.62
_cell_angle_gamma 60.77
_space_group_name_H-M_alt 'P 1'
_space_group_IT_number 1
_space_group_name_Hall 'P 1'
loop_
_atom_site_label
_atom_site_type_symbol
_atom_site_fract_x
_atom_site_fract_y
_atom_site_fract_z
As1 As 0.5126 0.5126 0.0000
Cr1 Cr 0.7446 0.2446 0.5000
Mo1 Mo 0.9914 0.9914 0.0000
Mo2 Mo 0.2513 0.7513 0.5000

---

> Which value of total magnetization does entry 3 give?

0.0 μB per formula unit